(1)
CaAg2: optimized geometry, GGA-PBEsol.

Calculated values
Symmetry: C2/m
Total DFT energy (no corrections): -3.14 eV per atom

a = 4.628 Å, b = 5.716 Å, c = 5.724 Å
α = 100.43°, β = 90.00°, γ = 113.88°
Element x y z (fractional)
1 Ca 0.028 0.057 0.387
2 Ca 0.249 0.499 0.002
3 Ag 0.913 0.826 0.835
4 Ag 0.365 0.730 0.554
5 Ag 0.730 0.461 0.399
6 Ag 0.547 0.095 0.990



(2)
Ca3Ag2: optimized geometry, GGA-PBEsol.

Calculated values
Symmetry: P-3m1
Total DFT energy (no corrections): -2.80 eV per atom

a = 5.126 Å, b = 5.126 Å, c = 6.270 Å
α = 90.00°, β = 90.00°, γ = 120.00°
Element x y z (fractional)
1 Ca 0.000 0.000 0.000
2 Ca 0.333 0.667 0.338
3 Ca 0.667 0.333 0.662
4 Ag 0.333 0.667 0.846
5 Ag 0.667 0.333 0.154



(3)
Ca2Ag: optimized geometry, GGA-PBEsol.

Calculated values
Symmetry: I4/mmm
Total DFT energy (no corrections): -2.73 eV per atom

a = 3.680 Å, b = 3.680 Å, c = 6.990 Å
α = 105.26°, β = 105.26°, γ = 90.00°
Element x y z (fractional)
1 Ca 0.136 0.136 0.272
2 Ca 0.864 0.864 0.728
3 Ag 0.500 0.500 0.000



(4)
Ca3Ag: optimized geometry, GGA-PBEsol.

Calculated values
Symmetry: Pnma
Total DFT energy (no corrections): -2.61 eV per atom

a = 6.702 Å, b = 7.932 Å, c = 9.772 Å
α = 90.00°, β = 90.00°, γ = 90.00°
Element x y z (fractional)
1 Ag 0.553 0.880 0.750
2 Ag 0.053 0.620 0.250
3 Ag 0.947 0.380 0.750
4 Ag 0.447 0.120 0.250
5 Ca 0.131 0.032 0.750
6 Ca 0.631 0.468 0.250
7 Ca 0.369 0.532 0.750
8 Ca 0.869 0.968 0.250
9 Ca 0.657 0.177 0.940
10 Ca 0.157 0.323 0.060
11 Ca 0.843 0.677 0.560
12 Ca 0.343 0.823 0.440
13 Ca 0.343 0.823 0.060
14 Ca 0.843 0.677 0.940
15 Ca 0.157 0.323 0.440
16 Ca 0.657 0.177 0.560



(5)
Ca2Ag: optimized geometry, GGA-PBEsol.

Calculated values
Symmetry: I4/mcm
Total DFT energy (no corrections): -2.75 eV per atom

a = 6.149 Å, b = 6.149 Å, c = 6.149 Å
α = 106.37°, β = 106.37°, γ = 115.87°
Element x y z (fractional)
1 Ca 0.825 0.325 0.149
2 Ca 0.175 0.675 0.851
3 Ca 0.325 0.175 0.500
4 Ca 0.675 0.825 0.500
5 Ag 0.750 0.750 0.000
6 Ag 0.250 0.250 0.000



(6)
Ca5Ag3: optimized geometry, GGA-PBEsol.

Calculated values
Symmetry: P6_3/mcm
Total DFT energy (no corrections): -2.81 eV per atom

a = 6.479 Å, b = 8.957 Å, c = 8.957 Å
α = 120.00°, β = 90.00°, γ = 90.00°
Element x y z (fractional)
1 Ag 0.750 0.395 0.395
2 Ag 0.250 0.605 0.605
3 Ag 0.750 0.000 0.605
4 Ag 0.750 0.605 0.000
5 Ag 0.250 0.395 0.000
6 Ag 0.250 0.000 0.395
7 Ca 0.000 0.667 0.333
8 Ca 0.500 0.333 0.667
9 Ca 0.000 0.333 0.667
10 Ca 0.500 0.667 0.333
11 Ca 0.750 0.745 0.745
12 Ca 0.250 0.255 0.255
13 Ca 0.750 0.000 0.255
14 Ca 0.750 0.255 0.000
15 Ca 0.250 0.745 0.000
16 Ca 0.250 0.000 0.745



(7)
CaAg7: optimized geometry, GGA-PBEsol.

Calculated values
Symmetry: Fm-3m
Total DFT energy (no corrections): -3.20 eV per atom

a = 5.851 Å, b = 5.851 Å, c = 5.851 Å
α = 60.00°, β = 60.00°, γ = 60.00°
Element x y z (fractional)
1 Ag 0.000 0.000 0.500
2 Ag 0.000 0.500 0.000
3 Ag 0.500 0.000 0.000
4 Ag 0.500 0.500 0.000
5 Ag 0.500 0.000 0.500
6 Ag 0.000 0.500 0.500
7 Ag 0.500 0.500 0.500
8 Ca 0.000 0.000 0.000



(8)
CaAg: optimized geometry, GGA-PBEsol.

Calculated values
Symmetry: Cmcm
Total DFT energy (no corrections): -3.03 eV per atom

a = 4.045 Å, b = 4.561 Å, c = 5.925 Å
α = 90.00°, β = 109.96°, γ = 90.00°
Element x y z (fractional)
1 Ca 0.142 0.250 0.284
2 Ca 0.858 0.750 0.716
3 Ag 0.426 0.250 0.853
4 Ag 0.574 0.750 0.147



(9)
Ca5Ag3: optimized geometry, GGA-PBEsol.

Calculated values
Symmetry: I4/mcm
Total DFT energy (no corrections): -2.80 eV per atom

a = 6.279 Å, b = 8.975 Å, c = 8.975 Å
α = 82.97°, β = 69.52°, γ = 69.52°
Element x y z (fractional)
1 Ag 0.250 0.000 0.000
2 Ag 0.750 0.000 0.000
3 Ag 0.841 0.500 0.818
4 Ag 0.159 0.500 0.182
5 Ag 0.341 0.818 0.500
6 Ag 0.659 0.182 0.500
7 Ca 0.250 0.500 0.500
8 Ca 0.750 0.500 0.500
9 Ca 0.918 0.869 0.294
10 Ca 0.082 0.131 0.706
11 Ca 0.418 0.294 0.869
12 Ca 0.582 0.706 0.131
13 Ca 0.712 0.869 0.706
14 Ca 0.288 0.131 0.294
15 Ca 0.788 0.294 0.131
16 Ca 0.212 0.706 0.869



(10)
Ca3Ag: optimized geometry, GGA-PBEsol.

Calculated values
Symmetry: P4/mmm
Total DFT energy (no corrections): -2.57 eV per atom

a = 3.698 Å, b = 3.698 Å, c = 9.348 Å
α = 90.00°, β = 90.00°, γ = 90.07°
Element x y z (fractional)
1 Ca 0.500 0.500 0.812
2 Ca 0.000 0.000 0.500
3 Ca 0.500 0.500 0.188
4 Ag 0.000 0.000 0.000



(11)
Ca2Ag: optimized geometry, GGA-PBEsol.

Calculated values
Symmetry: Fm-3m
Total DFT energy (no corrections): -2.65 eV per atom

a = 5.126 Å, b = 5.126 Å, c = 5.126 Å
α = 60.00°, β = 60.00°, γ = 60.00°
Element x y z (fractional)
1 Ca 0.750 0.750 0.750
2 Ca 0.250 0.250 0.250
3 Ag 0.000 0.000 0.000



(12)
CaAg: optimized geometry, GGA-PBEsol.

Calculated values
Symmetry: P6_3/mmc
Total DFT energy (no corrections): -2.93 eV per atom

a = 4.809 Å, b = 4.809 Å, c = 5.441 Å
α = 90.00°, β = 90.00°, γ = 120.00°
Element x y z (fractional)
1 Ca 0.667 0.333 0.750
2 Ca 0.333 0.667 0.250
3 Ag 0.000 0.000 0.000
4 Ag 0.000 0.000 0.500



(13)
CaAg: optimized geometry, GGA-PBEsol.

Calculated values
Symmetry: C2/m
Total DFT energy (no corrections): -2.93 eV per atom

a = 3.565 Å, b = 5.143 Å, c = 5.831 Å
α = 106.45°, β = 107.80°, γ = 90.00°
Element x y z (fractional)
1 Ca 0.396 0.180 0.792
2 Ca 0.604 0.820 0.208
3 Ag 0.151 0.359 0.301
4 Ag 0.849 0.641 0.699



(14)
CaAg3: optimized geometry, GGA-PBEsol.

Calculated values
Symmetry: Pmmn
Total DFT energy (no corrections): -3.21 eV per atom

a = 4.880 Å, b = 5.335 Å, c = 6.007 Å
α = 90.00°, β = 90.00°, γ = 90.00°
Element x y z (fractional)
1 Ag 0.500 0.704 0.000
2 Ag 0.000 0.296 0.500
3 Ag 0.000 0.843 0.752
4 Ag 0.000 0.843 0.248
5 Ag 0.500 0.157 0.252
6 Ag 0.500 0.157 0.748
7 Ca 0.000 0.349 0.000
8 Ca 0.500 0.651 0.500



(15)
CaAg: optimized geometry, GGA-PBEsol.

Calculated values
Symmetry: Cm
Total DFT energy (no corrections): -2.94 eV per atom

a = 3.843 Å, b = 5.831 Å, c = 8.065 Å
α = 67.96°, β = 76.22°, γ = 70.76°
Element x y z (fractional)
1 Ca 0.371 0.944 0.314
2 Ca 0.007 0.374 0.612
3 Ca 0.186 0.663 0.965
4 Ag 0.894 0.204 0.008
5 Ag 0.719 0.930 0.631
6 Ag 0.656 0.385 0.303



(16)
Ca2Ag: optimized geometry, GGA-PBEsol.

Calculated values
Symmetry: P-62m
Total DFT energy (no corrections): -2.74 eV per atom

a = 4.579 Å, b = 8.135 Å, c = 8.135 Å
α = 120.00°, β = 90.00°, γ = 90.00°
Element x y z (fractional)
1 Ag 0.000 0.667 0.333
2 Ag 0.000 0.333 0.667
3 Ag 0.500 0.000 0.000
4 Ca 0.000 0.743 0.743
5 Ca 0.000 0.000 0.257
6 Ca 0.000 0.257 0.000
7 Ca 0.500 0.408 0.408
8 Ca 0.500 0.000 0.592
9 Ca 0.500 0.592 0.000



(17)
CaAg2: optimized geometry, GGA-PBEsol.

Calculated values
Symmetry: Cmcm
Total DFT energy (no corrections): -3.18 eV per atom

a = 4.477 Å, b = 5.792 Å, c = 10.117 Å
α = 90.00°, β = 90.00°, γ = 90.00°
Element x y z (fractional)
1 Ag 0.750 0.500 0.750
2 Ag 0.250 0.000 0.250
3 Ag 0.750 0.000 0.750
4 Ag 0.250 0.500 0.250
5 Ag 0.750 0.250 0.163
6 Ag 0.250 0.250 0.663
7 Ag 0.750 0.750 0.337
8 Ag 0.250 0.750 0.837
9 Ca 0.750 0.750 0.045
10 Ca 0.250 0.750 0.545
11 Ca 0.750 0.250 0.455
12 Ca 0.250 0.250 0.955



(18)
Ca3Ag: optimized geometry, GGA-PBEsol.

Calculated values
Symmetry: Cmcm
Total DFT energy (no corrections): -2.55 eV per atom

a = 4.237 Å, b = 8.071 Å, c = 8.071 Å
α = 105.83°, β = 90.00°, γ = 90.00°
Element x y z (fractional)
1 Ag 0.250 0.726 0.274
2 Ag 0.750 0.274 0.726
3 Ca 0.750 0.889 0.111
4 Ca 0.250 0.111 0.889
5 Ca 0.750 0.823 0.564
6 Ca 0.250 0.177 0.436
7 Ca 0.750 0.436 0.177
8 Ca 0.250 0.564 0.823



(19)
Ca3Ag: optimized geometry, GGA-PBEsol.

Calculated values
Symmetry: Imm2
Total DFT energy (no corrections): -2.52 eV per atom

a = 3.791 Å, b = 6.070 Å, c = 6.713 Å
α = 116.88°, β = 106.40°, γ = 90.00°
Element x y z (fractional)
1 Ca 0.500 0.403 0.000
2 Ca 0.301 0.684 0.602
3 Ca 0.699 0.083 0.398
4 Ag 0.000 0.996 0.000



(20)
Ca2Ag: optimized geometry, GGA-PBEsol.

Calculated values
Symmetry: Fd-3m
Total DFT energy (no corrections): -2.71 eV per atom

a = 9.932 Å, b = 9.932 Å, c = 9.932 Å
α = 60.00°, β = 60.00°, γ = 60.00°
Element x y z (fractional)
1 Ag 0.342 0.342 0.342
2 Ag 0.974 0.342 0.342
3 Ag 0.342 0.974 0.342
4 Ag 0.342 0.342 0.974
5 Ag 0.908 0.908 0.908
6 Ag 0.276 0.908 0.908
7 Ag 0.908 0.276 0.908
8 Ag 0.908 0.908 0.276
9 Ca 0.125 0.125 0.625
10 Ca 0.125 0.625 0.125
11 Ca 0.625 0.125 0.125
12 Ca 0.125 0.125 0.125
13 Ca 0.940 0.560 0.560
14 Ca 0.560 0.940 0.560
15 Ca 0.560 0.560 0.940
16 Ca 0.940 0.940 0.560
17 Ca 0.940 0.560 0.940
18 Ca 0.560 0.940 0.940
19 Ca 0.310 0.690 0.690
20 Ca 0.690 0.310 0.690
21 Ca 0.690 0.690 0.310
22 Ca 0.310 0.310 0.690
23 Ca 0.310 0.690 0.310
24 Ca 0.690 0.310 0.310



(21)
Ca2Ag: optimized geometry, GGA-PBEsol.

Calculated values
Symmetry: Cmcm
Total DFT energy (no corrections): -2.68 eV per atom

a = 3.690 Å, b = 5.428 Å, c = 8.975 Å
α = 90.00°, β = 101.86°, γ = 90.00°
Element x y z (fractional)
1 Ca 0.926 0.750 0.852
2 Ca 0.207 0.750 0.414
3 Ca 0.793 0.250 0.586
4 Ca 0.074 0.250 0.148
5 Ag 0.567 0.750 0.133
6 Ag 0.433 0.250 0.867



(22)
CaAg2: optimized geometry, GGA-PBEsol.

Calculated values
Symmetry: I4_1/amd
Total DFT energy (no corrections): -3.09 eV per atom

a = 4.039 Å, b = 4.039 Å, c = 9.165 Å
α = 102.73°, β = 102.73°, γ = 90.00°
Element x y z (fractional)
1 Ca 0.250 0.750 0.500
2 Ca 0.000 0.000 0.000
3 Ag 0.826 0.326 0.653
4 Ag 0.424 0.424 0.847
5 Ag 0.674 0.174 0.347
6 Ag 0.576 0.576 0.153



(23)
CaAg: optimized geometry, GGA-PBEsol.

Calculated values
Symmetry: P4/nmm
Total DFT energy (no corrections): -2.89 eV per atom

a = 3.636 Å, b = 3.636 Å, c = 7.765 Å
α = 90.00°, β = 90.00°, γ = 90.00°
Element x y z (fractional)
1 Ca 0.500 0.000 0.309
2 Ca 0.000 0.500 0.691
3 Ag 0.500 0.000 0.916
4 Ag 0.000 0.500 0.084



(24)
CaAg2: optimized geometry, GGA-PBEsol.

Calculated values
Symmetry: Fd-3m
Total DFT energy (no corrections): -3.19 eV per atom

a = 5.642 Å, b = 5.642 Å, c = 5.642 Å
α = 60.00°, β = 60.00°, γ = 60.00°
Element x y z (fractional)
1 Ca 0.500 0.500 0.500
2 Ca 0.750 0.750 0.750
3 Ag 0.125 0.125 0.125
4 Ag 0.125 0.125 0.625
5 Ag 0.125 0.625 0.125
6 Ag 0.625 0.125 0.125



(25)
CaAg3: optimized geometry, GGA-PBEsol.

Calculated values
Symmetry: P4/mmm
Total DFT energy (no corrections): -3.15 eV per atom

a = 3.558 Å, b = 3.558 Å, c = 6.258 Å
α = 90.00°, β = 90.00°, γ = 90.00°
Element x y z (fractional)
1 Ca 0.500 0.500 0.000
2 Ag 0.000 0.000 0.719
3 Ag 0.500 0.500 0.500
4 Ag 0.000 0.000 0.281